Density functional theory data (GGA-PBEsol) for a relaxed structure of CuNiAu2.

Lattice parameters (Å, degrees): 3.461 4.005 4.005 90.00 90.00 90.00
Sites, in units of the cell vectors:
Cu  0.500  0.500  0.500
Ni  0.500  0.000  0.000
Au  0.000  0.000  0.500
Au  0.000  0.500  0.000

Values from the calculation:
E: -4.5677 eV per atom
Symmetry: P4/mmm